1.
{
  "formula": "CuAuBr4",
  "functional": "PBEsol",
  "state": "optimized geometry",
  "dos_ef_per_ev_fu": 2.77,
  "e_form_raw_ev_per_atom": 1.043,
  "space_group": "F-43m, No. 216",
  "lattice": [[0.000, 4.199, 4.199], [4.199, 0.000, 4.199], [4.199, 4.199, 0.000]],
  "species": ["Cu", "Au", "Br", "Br", "Br", "Br"],
  "frac_coords": [[0.000, 0.000, 0.000], [0.750, 0.750, 0.750], [0.376, 0.376, 0.376], [0.376, 0.376, 0.873], [0.376, 0.873, 0.376], [0.873, 0.376, 0.376]]
}

2.
{
  "formula": "CuAuBr2",
  "functional": "PBEsol",
  "state": "optimized geometry",
  "e_form_raw_ev_per_atom": 0.065,
  "e_above_lowest_polymorph_mev_per_atom": 60,
  "space_group": "P4mm, No. 99",
  "lattice": [[3.545, 0.000, 0.000], [0.000, 3.545, 0.000], [0.000, 0.000, 6.860]],
  "species": ["Cu", "Au", "Br", "Br"],
  "frac_coords": [[0.000, 0.000, 0.000], [0.500, 0.500, 0.135], [0.000, 0.000, 0.357], [0.500, 0.500, 0.769]]
}

3.
{
  "formula": "CuAuBr2",
  "functional": "PBEsol",
  "state": "optimized geometry",
  "dos_ef_per_ev_fu": 0.77,
  "e_form_raw_ev_per_atom": 0.004,
  "e_above_lowest_polymorph_mev_per_atom": 0,
  "space_group": "Cmm2, No. 35",
  "lattice": [[3.751, 0.000, 0.000], [0.000, 6.398, 0.000], [0.000, 0.000, 7.690]],
  "species": ["Cu", "Cu", "Au", "Au", "Br", "Br", "Br", "Br"],
  "frac_coords": [[0.000, 0.000, 0.000], [0.500, 0.500, 0.000], [0.000, 0.500, 0.785], [0.500, 0.000, 0.785], [0.000, 0.000, 0.562], [0.000, 0.500, 0.181], [0.500, 0.000, 0.181], [0.500, 0.500, 0.562]]
}

4.
{
  "formula": "HfCuAuBr2",
  "functional": "PBEsol",
  "state": "optimized geometry",
  "dos_ef_per_ev_fu": 4.69,
  "e_form_raw_ev_per_atom": 0.961,
  "space_group": "P4/mmm, No. 123",
  "lattice": [[5.095, 0.000, 0.000], [0.000, 5.095, 0.000], [0.000, 0.000, 4.797]],
  "species": ["Hf", "Cu", "Au", "Br", "Br"],
  "frac_coords": [[0.000, 0.000, 0.000], [0.500, 0.500, 0.000], [0.500, 0.500, 0.500], [0.000, 0.500, 0.500], [0.500, 0.000, 0.500]]
}

5.
{
  "formula": "Rb2CuAuBr",
  "functional": "PBEsol",
  "state": "optimized geometry",
  "dos_ef_per_ev_fu": 0.59,
  "e_form_raw_ev_per_atom": -0.382,
  "space_group": "P4/mmm, No. 123",
  "lattice": [[6.310, 0.000, 0.000], [0.000, 6.310, 0.000], [0.000, 0.000, 4.784]],
  "species": ["Rb", "Rb", "Cu", "Au", "Br"],
  "frac_coords": [[0.000, 0.500, 0.000], [0.500, 0.000, 0.000], [0.000, 0.000, 0.500], [0.000, 0.000, 0.000], [0.500, 0.500, 0.500]]
}

6.
{
  "formula": "AuBr3F",
  "functional": "PBEsol",
  "state": "optimized geometry",
  "dos_ef_per_ev_fu": 4.99,
  "e_form_raw_ev_per_atom": 0.578,
  "space_group": "Pm-3m, No. 221",
  "lattice": [[4.791, 0.000, 0.000], [0.000, 4.791, 0.000], [0.000, 0.000, 4.791]],
  "species": ["Au", "Br", "Br", "Br", "F"],
  "frac_coords": [[0.000, 0.000, 0.000], [0.000, 0.500, 0.500], [0.500, 0.000, 0.500], [0.500, 0.500, 0.000], [0.500, 0.500, 0.500]]
}

7.
{
  "formula": "FeAuBr",
  "functional": "PBEsol",
  "state": "optimized geometry",
  "dos_ef_per_ev_fu": 2.57,
  "e_form_raw_ev_per_atom": 0.981,
  "space_group": "F-43m, No. 216",
  "lattice": [[6.220, 0.000, 0.000], [0.000, 6.220, 0.000], [0.000, 0.000, 6.220]],
  "species": ["Fe", "Fe", "Fe", "Fe", "Au", "Au", "Au", "Au", "Br", "Br", "Br", "Br"],
  "frac_coords": [[0.000, 0.000, 0.000], [0.000, 0.500, 0.500], [0.500, 0.000, 0.500], [0.500, 0.500, 0.000], [0.000, 0.000, 0.500], [0.000, 0.500, 0.000], [0.500, 0.000, 0.000], [0.500, 0.500, 0.500], [0.250, 0.250, 0.750], [0.250, 0.750, 0.250], [0.750, 0.250, 0.250], [0.750, 0.750, 0.750]]
}

8.
{
  "formula": "FeAuBr2",
  "functional": "PBEsol",
  "state": "optimized geometry",
  "dos_ef_per_ev_fu": 2.65,
  "e_form_raw_ev_per_atom": 0.227,
  "e_above_lowest_polymorph_mev_per_atom": 0,
  "space_group": "P4mm, No. 99",
  "lattice": [[3.183, 0.000, 0.000], [0.000, 3.183, 0.000], [0.000, 0.000, 8.079]],
  "species": ["Fe", "Au", "Br", "Br"],
  "frac_coords": [[0.000, 0.000, 0.000], [0.500, 0.500, 0.198], [0.000, 0.000, 0.423], [0.500, 0.500, 0.815]]
}

9.
{
  "formula": "FeAuBr2",
  "functional": "PBEsol",
  "state": "optimized geometry",
  "dos_ef_per_ev_fu": 2.41,
  "e_form_raw_ev_per_atom": 0.401,
  "e_above_lowest_polymorph_mev_per_atom": 174,
  "space_group": "P4/mmm, No. 123",
  "lattice": [[3.066, 0.000, 0.000], [0.000, 3.066, 0.000], [0.000, 0.000, 8.935]],
  "species": ["Fe", "Au", "Br", "Br"],
  "frac_coords": [[0.000, 0.000, 0.000], [0.000, 0.000, 0.500], [0.500, 0.500, 0.179], [0.500, 0.500, 0.821]]
}

10.
{
  "formula": "FeAu2Br",
  "functional": "PBEsol",
  "state": "optimized geometry",
  "dos_ef_per_ev_fu": 4.67,
  "e_form_raw_ev_per_atom": 0.693,
  "space_group": "Fm-3m, No. 225",
  "lattice": [[6.563, 0.000, 0.000], [0.000, 6.563, 0.000], [0.000, 0.000, 6.563]],
  "species": ["Fe", "Fe", "Fe", "Fe", "Au", "Au", "Au", "Au", "Au", "Au", "Au", "Au", "Br", "Br", "Br", "Br"],
  "frac_coords": [[0.000, 0.000, 0.000], [0.000, 0.500, 0.500], [0.500, 0.000, 0.500], [0.500, 0.500, 0.000], [0.250, 0.250, 0.250], [0.250, 0.250, 0.750], [0.250, 0.750, 0.250], [0.250, 0.750, 0.750], [0.750, 0.250, 0.250], [0.750, 0.250, 0.750], [0.750, 0.750, 0.250], [0.750, 0.750, 0.750], [0.000, 0.000, 0.500], [0.000, 0.500, 0.000], [0.500, 0.000, 0.000], [0.500, 0.500, 0.500]]
}

11.
{
  "formula": "GaFe2AuBr",
  "functional": "PBEsol",
  "state": "optimized geometry",
  "dos_ef_per_ev_fu": 6.68,
  "e_form_raw_ev_per_atom": 1.239,
  "space_group": "P4/mmm, No. 123",
  "lattice": [[4.494, 0.000, 0.000], [0.000, 4.494, 0.000], [0.000, 0.000, 5.043]],
  "species": ["Ga", "Fe", "Fe", "Au", "Br"],
  "frac_coords": [[0.000, 0.000, 0.000], [0.000, 0.500, 0.000], [0.500, 0.000, 0.000], [0.500, 0.500, 0.500], [0.000, 0.000, 0.500]]
}

12.
{
  "formula": "GaAuBr3",
  "functional": "PBEsol",
  "state": "optimized geometry",
  "dos_ef_per_ev_fu": 1.19,
  "e_form_raw_ev_per_atom": 0.076,
  "space_group": "Pm-3m, No. 221",
  "lattice": [[5.047, 0.000, 0.000], [0.000, 5.047, 0.000], [0.000, 0.000, 5.047]],
  "species": ["Ga", "Au", "Br", "Br", "Br"],
  "frac_coords": [[0.000, 0.000, 0.000], [0.500, 0.500, 0.500], [0.000, 0.000, 0.500], [0.000, 0.500, 0.000], [0.500, 0.000, 0.000]]
}

13.
{
  "formula": "GaAu3Br",
  "functional": "PBEsol",
  "state": "optimized geometry",
  "dos_ef_per_ev_fu": 2.74,
  "e_form_raw_ev_per_atom": 0.950,
  "space_group": "Pm-3m, No. 221",
  "lattice": [[5.041, 0.000, 0.000], [0.000, 5.041, 0.000], [0.000, 0.000, 5.041]],
  "species": ["Ga", "Au", "Au", "Au", "Br"],
  "frac_coords": [[0.000, 0.000, 0.000], [0.000, 0.500, 0.500], [0.500, 0.000, 0.500], [0.500, 0.500, 0.000], [0.500, 0.500, 0.500]]
}

14.
{
  "formula": "ZnGaAu2Br",
  "functional": "PBEsol",
  "state": "optimized geometry",
  "dos_ef_per_ev_fu": 2.16,
  "e_form_raw_ev_per_atom": 0.368,
  "space_group": "P4/mmm, No. 123",
  "lattice": [[4.772, 0.000, 0.000], [0.000, 4.772, 0.000], [0.000, 0.000, 5.158]],
  "species": ["Zn", "Ga", "Au", "Au", "Br"],
  "frac_coords": [[0.000, 0.000, 0.000], [0.000, 0.000, 0.500], [0.000, 0.500, 0.000], [0.500, 0.000, 0.000], [0.500, 0.500, 0.500]]
}

15.
{
  "formula": "GeAuBr3",
  "functional": "PBEsol",
  "state": "optimized geometry",
  "dos_ef_per_ev_fu": 2.32,
  "e_form_raw_ev_per_atom": 0.259,
  "space_group": "Pm-3m, No. 221",
  "lattice": [[5.183, 0.000, 0.000], [0.000, 5.183, 0.000], [0.000, 0.000, 5.183]],
  "species": ["Ge", "Au", "Br", "Br", "Br"],
  "frac_coords": [[0.000, 0.000, 0.000], [0.500, 0.500, 0.500], [0.000, 0.500, 0.500], [0.500, 0.000, 0.500], [0.500, 0.500, 0.000]]
}

16.
{
  "formula": "GeAuBr2",
  "functional": "PBEsol",
  "state": "optimized geometry",
  "dos_ef_per_ev_fu": 1.89,
  "e_form_raw_ev_per_atom": 0.228,
  "space_group": "Fm-3m, No. 225",
  "lattice": [[7.008, 0.000, 0.000], [0.000, 7.008, 0.000], [0.000, 0.000, 7.008]],
  "species": ["Ge", "Ge", "Ge", "Ge", "Au", "Au", "Au", "Au", "Br", "Br", "Br", "Br", "Br", "Br", "Br", "Br"],
  "frac_coords": [[0.000, 0.000, 0.000], [0.000, 0.500, 0.500], [0.500, 0.000, 0.500], [0.500, 0.500, 0.000], [0.000, 0.000, 0.500], [0.000, 0.500, 0.000], [0.500, 0.000, 0.000], [0.500, 0.500, 0.500], [0.250, 0.250, 0.250], [0.250, 0.250, 0.750], [0.250, 0.750, 0.250], [0.250, 0.750, 0.750], [0.750, 0.250, 0.250], [0.750, 0.250, 0.750], [0.750, 0.750, 0.250], [0.750, 0.750, 0.750]]
}

17.
{
  "formula": "Ge3AuBr",
  "functional": "PBEsol",
  "state": "optimized geometry",
  "dos_ef_per_ev_fu": 3.64,
  "e_form_raw_ev_per_atom": 0.548,
  "space_group": "Pm-3m, No. 221",
  "lattice": [[5.036, 0.000, 0.000], [0.000, 5.036, 0.000], [0.000, 0.000, 5.036]],
  "species": ["Ge", "Ge", "Ge", "Au", "Br"],
  "frac_coords": [[0.000, 0.000, 0.500], [0.000, 0.500, 0.000], [0.500, 0.000, 0.000], [0.000, 0.000, 0.000], [0.500, 0.500, 0.500]]
}

18.
{
  "formula": "LiGeAu2Br",
  "functional": "PBEsol",
  "state": "optimized geometry",
  "dos_ef_per_ev_fu": 2.01,
  "e_form_raw_ev_per_atom": 0.314,
  "space_group": "P4/mmm, No. 123",
  "lattice": [[4.642, 0.000, 0.000], [0.000, 4.642, 0.000], [0.000, 0.000, 4.646]],
  "species": ["Li", "Ge", "Au", "Au", "Br"],
  "frac_coords": [[0.000, 0.000, 0.000], [0.500, 0.500, 0.500], [0.000, 0.500, 0.000], [0.500, 0.000, 0.000], [0.000, 0.000, 0.500]]
}

19.
{
  "formula": "GeAuSeBr2",
  "functional": "PBEsol",
  "state": "optimized geometry",
  "dos_ef_per_ev_fu": 1.80,
  "e_form_raw_ev_per_atom": 0.345,
  "space_group": "P4/mmm, No. 123",
  "lattice": [[5.080, 0.000, 0.000], [0.000, 5.080, 0.000], [0.000, 0.000, 5.126]],
  "species": ["Ge", "Au", "Se", "Br", "Br"],
  "frac_coords": [[0.000, 0.000, 0.000], [0.500, 0.500, 0.500], [0.500, 0.500, 0.000], [0.000, 0.500, 0.500], [0.500, 0.000, 0.500]]
}

20.
{
  "formula": "HAuBr2",
  "functional": "PBEsol",
  "state": "optimized geometry",
  "dos_ef_per_ev_fu": 0.47,
  "e_above_lowest_polymorph_mev_per_atom": 154,
  "space_group": "R-3m, No. 166",
  "lattice": [[3.531, 0.000, 0.000], [-1.766, 3.058, 0.000], [0.000, 0.000, 22.078]],
  "species": ["H", "H", "H", "Au", "Au", "Au", "Br", "Br", "Br", "Br", "Br", "Br"],
  "frac_coords": [[0.000, 0.000, 0.000], [0.333, 0.667, 0.667], [0.667, 0.333, 0.333], [0.000, 0.000, 0.500], [0.333, 0.667, 0.167], [0.667, 0.333, 0.833], [0.000, 0.000, 0.392], [0.000, 0.000, 0.608], [0.333, 0.667, 0.058], [0.333, 0.667, 0.275], [0.667, 0.333, 0.725], [0.667, 0.333, 0.942]]
}

21.
{
  "formula": "HAuBr2",
  "functional": "PBEsol",
  "state": "optimized geometry",
  "dos_ef_per_ev_fu": 1.41,
  "e_above_lowest_polymorph_mev_per_atom": 0,
  "space_group": "I-42d, No. 122",
  "lattice": [[5.577, 0.000, 0.000], [0.000, 5.577, 0.000], [0.000, 0.000, 10.199]],
  "species": ["H", "H", "H", "H", "Au", "Au", "Au", "Au", "Br", "Br", "Br", "Br", "Br", "Br", "Br", "Br"],
  "frac_coords": [[0.000, 0.000, 0.000], [0.000, 0.500, 0.250], [0.500, 0.000, 0.750], [0.500, 0.500, 0.500], [0.000, 0.000, 0.500], [0.000, 0.500, 0.750], [0.500, 0.000, 0.250], [0.500, 0.500, 0.000], [0.175, 0.750, 0.125], [0.250, 0.175, 0.875], [0.250, 0.325, 0.375], [0.325, 0.750, 0.625], [0.675, 0.250, 0.625], [0.750, 0.675, 0.375], [0.750, 0.825, 0.875], [0.825, 0.250, 0.125]]
}

22.
{
  "formula": "HgHAu2Br",
  "functional": "PBEsol",
  "state": "optimized geometry",
  "dos_ef_per_ev_fu": 1.18,
  "e_tot_ev_per_atom": -2.539,
  "space_group": "P4/mmm, No. 123",
  "lattice": [[3.903, 0.000, 0.000], [0.000, 3.903, 0.000], [0.000, 0.000, 6.086]],
  "species": ["Hg", "H", "Au", "Au", "Br"],
  "frac_coords": [[0.000, 0.000, 0.000], [0.500, 0.500, 0.500], [0.000, 0.500, 0.500], [0.500, 0.000, 0.500], [0.500, 0.500, 0.000]]
}

23.
{
  "formula": "KHAuBr2",
  "functional": "PBEsol",
  "state": "optimized geometry",
  "dos_ef_per_ev_fu": 3.00,
  "e_tot_ev_per_atom": -1.940,
  "space_group": "P4/mmm, No. 123",
  "lattice": [[5.763, 0.000, 0.000], [0.000, 5.763, 0.000], [0.000, 0.000, 4.230]],
  "species": ["K", "H", "Au", "Br", "Br"],
  "frac_coords": [[0.000, 0.000, 0.000], [0.000, 0.000, 0.500], [0.500, 0.500, 0.500], [0.000, 0.500, 0.000], [0.500, 0.000, 0.000]]
}

24.
{
  "formula": "ScH2AuBr",
  "functional": "PBEsol",
  "state": "optimized geometry",
  "dos_ef_per_ev_fu": 2.56,
  "e_tot_ev_per_atom": -3.347,
  "space_group": "P4/mmm, No. 123",
  "lattice": [[3.784, 0.000, 0.000], [0.000, 3.784, 0.000], [0.000, 0.000, 6.753]],
  "species": ["Sc", "H", "H", "Au", "Br"],
  "frac_coords": [[0.000, 0.000, 0.000], [0.000, 0.500, 0.500], [0.500, 0.000, 0.500], [0.500, 0.500, 0.000], [0.500, 0.500, 0.500]]
}

25.
{
  "formula": "Hf3AuBr",
  "functional": "PBEsol",
  "state": "optimized geometry",
  "dos_ef_per_ev_fu": 4.58,
  "e_form_raw_ev_per_atom": 0.602,
  "space_group": "Pm-3m, No. 221",
  "lattice": [[4.794, 0.000, 0.000], [0.000, 4.794, 0.000], [0.000, 0.000, 4.794]],
  "species": ["Hf", "Hf", "Hf", "Au", "Br"],
  "frac_coords": [[0.000, 0.000, 0.500], [0.000, 0.500, 0.000], [0.500, 0.000, 0.000], [0.500, 0.500, 0.500], [0.000, 0.000, 0.000]]
}

26.
{
  "formula": "HfAuBr2",
  "functional": "PBEsol",
  "state": "optimized geometry",
  "dos_ef_per_ev_fu": 2.46,
  "e_form_raw_ev_per_atom": -0.344,
  "space_group": "I-42d, No. 122",
  "lattice": [[9.340, 0.000, 0.000], [0.000, 9.340, 0.000], [0.000, 0.000, 5.310]],
  "species": ["Hf", "Hf", "Hf", "Hf", "Au", "Au", "Au", "Au", "Br", "Br", "Br", "Br", "Br", "Br", "Br", "Br"],
  "frac_coords": [[0.000, 0.000, 0.000], [0.000, 0.500, 0.250], [0.500, 0.000, 0.750], [0.500, 0.500, 0.500], [0.000, 0.000, 0.500], [0.000, 0.500, 0.750], [0.500, 0.000, 0.250], [0.500, 0.500, 0.000], [0.111, 0.250, 0.125], [0.250, 0.611, 0.375], [0.250, 0.889, 0.875], [0.389, 0.250, 0.625], [0.611, 0.750, 0.625], [0.750, 0.111, 0.875], [0.750, 0.389, 0.375], [0.889, 0.750, 0.125]]
}

27.
{
  "formula": "HfAuSeBr2",
  "functional": "PBEsol",
  "state": "optimized geometry",
  "dos_ef_per_ev_fu": 2.74,
  "e_form_raw_ev_per_atom": -0.264,
  "space_group": "P4/mmm, No. 123",
  "lattice": [[5.135, 0.000, 0.000], [0.000, 5.135, 0.000], [0.000, 0.000, 5.105]],
  "species": ["Hf", "Au", "Se", "Br", "Br"],
  "frac_coords": [[0.000, 0.000, 0.000], [0.500, 0.500, 0.500], [0.000, 0.000, 0.500], [0.000, 0.500, 0.000], [0.500, 0.000, 0.000]]
}

28.
{
  "formula": "Hg3AuBr",
  "functional": "PBEsol",
  "state": "optimized geometry",
  "dos_ef_per_ev_fu": 1.18,
  "e_form_raw_ev_per_atom": -0.024,
  "space_group": "Pm-3m, No. 221",
  "lattice": [[5.266, 0.000, 0.000], [0.000, 5.266, 0.000], [0.000, 0.000, 5.266]],
  "species": ["Hg", "Hg", "Hg", "Au", "Br"],
  "frac_coords": [[0.000, 0.000, 0.500], [0.000, 0.500, 0.000], [0.500, 0.000, 0.000], [0.000, 0.000, 0.000], [0.500, 0.500, 0.500]]
}

29.
{
  "formula": "Hg2AuBr",
  "functional": "PBEsol",
  "state": "optimized geometry",
  "dos_ef_per_ev_fu": 1.07,
  "e_form_raw_ev_per_atom": 0.146,
  "space_group": "Pmmm, No. 47",
  "lattice": [[3.806, 0.000, 0.000], [0.000, 4.191, 0.000], [0.000, 0.000, 5.853]],
  "species": ["Hg", "Hg", "Au", "Br"],
  "frac_coords": [[0.000, 0.000, 0.000], [0.500, 0.500, 0.000], [0.000, 0.500, 0.500], [0.500, 0.000, 0.500]]
}